# SrMg2InHg4

Crystalline SrMg2InHg4 at its relaxed geometry (PBE, the Alexandria database).

The volume comes out at 26.1 Å³/atom. The calculation puts the energy of formation from the pure elements at -2.2 eV per formula unit.

The space group is R-3m (No. 166, hexagonal axes) and the conventional cell measures 4.8608, 4.8608 and 30.5967 Å, with angles of 90.00, 90.00 and 120.00 degrees. The distinct sites, in fractional coordinates, are Sr at (0.0000, 0.0000, 0.0000), Mg at (0.0000, 0.0000, 0.2380), In at (0.0000, 0.0000, 0.5000), Hg at (0.0000, 0.0000, 0.1216) and Hg at (0.0000, 0.0000, 0.3926).